[1]
Compound: MnAgSb2
Source: Alexandria via LeMat-Bulk
Functional: PBE
Structure: optimized geometry

```
data_MnAgSb2
_space_group_name_H-M_alt 'P 1'
_space_group_IT_number 1
_space_group_name_Hall 'P 1'
_cell_length_a 3.2573
_cell_length_b 3.2573
_cell_length_c 8.2403
_cell_angle_alpha 90.00
_cell_angle_beta 90.00
_cell_angle_gamma 100.26
loop_
_atom_site_label
_atom_site_type_symbol
_atom_site_fract_x
_atom_site_fract_y
_atom_site_fract_z
_atom_site_occupancy
Mn1 Mn 0.0000 0.0000 0.0000 1
Ag1 Ag 0.0000 0.0000 0.5000 1
Sb1 Sb 0.5000 0.5000 0.2236 1
Sb2 Sb 0.5000 0.5000 0.7764 1
```

## Properties
crystal system = orthorhombic
raw total energy = -4.848 eV per atom
M_tot = 3.32 μB per formula unit
volume = 21.507 A^3/atom

***

[2]
Compound: TcAgCl2
Source: Alexandria via LeMat-Bulk
Functional: PBE
Structure: optimized geometry

```
data_TcAgCl2
_space_group_name_H-M_alt 'P 1'
_space_group_IT_number 1
_space_group_name_Hall 'P 1'
_cell_length_a 3.2759
_cell_length_b 4.7183
_cell_length_c 4.9462
_cell_angle_alpha 90.00
_cell_angle_beta 98.31
_cell_angle_gamma 90.00
loop_
_atom_site_label
_atom_site_type_symbol
_atom_site_fract_x
_atom_site_fract_y
_atom_site_fract_z
_atom_site_occupancy
Tc1 Tc 0.0000 0.0000 0.0000 1
Ag1 Ag 0.5133 0.5000 0.3414 1
Cl1 Cl 0.1165 0.0000 0.5185 1
Cl2 Cl 0.8857 0.5000 0.8849 1
```

## Properties
crystal system = monoclinic
M_tot = 1.94 μB per formula unit
energy above the most stable polymorph in this dataset = 1.47 eV/f.u.
volume = 18.913 A^3/atom

***

[3]
Compound: Cu2SnHPt
Source: Alexandria via LeMat-Bulk
Functional: PBE
Structure: optimized geometry

```
data_Cu2SnHPt
_space_group_name_H-M_alt 'P 1'
_space_group_IT_number 1
_space_group_name_Hall 'P 1'
_cell_length_a 4.0722
_cell_length_b 4.0722
_cell_length_c 3.8945
_cell_angle_alpha 90.00
_cell_angle_beta 90.00
_cell_angle_gamma 90.00
loop_
_atom_site_label
_atom_site_type_symbol
_atom_site_fract_x
_atom_site_fract_y
_atom_site_fract_z
_atom_site_occupancy
Cu1 Cu 0.0000 0.5000 0.0000 1
Cu2 Cu 0.5000 0.0000 0.0000 1
Sn1 Sn 0.0000 0.0000 0.5000 1
H1 H 0.5000 0.5000 0.0000 1
Pt1 Pt 0.5000 0.5000 0.5000 1
```

## Properties
crystal system = tetragonal
raw total energy = -4.326 eV per atom
M_tot = 0.00 μB per formula unit
volume = 12.916 A^3/atom

***

[4]
Compound: CeBeFeP2
Source: Alexandria via LeMat-Bulk
Functional: PBE
Structure: optimized geometry

```
data_CeBeFeP2
_space_group_name_H-M_alt 'P 1'
_space_group_IT_number 1
_space_group_name_Hall 'P 1'
_cell_length_a 5.9983
_cell_length_b 5.9983
_cell_length_c 5.9983
_cell_angle_alpha 144.23
_cell_angle_beta 144.23
_cell_angle_gamma 51.49
loop_
_atom_site_label
_atom_site_type_symbol
_atom_site_fract_x
_atom_site_fract_y
_atom_site_fract_z
_atom_site_occupancy
Ce1 Ce 0.0000 0.0000 0.0000 1
Be1 Be 0.2500 0.7500 0.5000 1
Fe1 Fe 0.7500 0.2500 0.5000 1
P1 P 0.3637 0.3637 0.0000 1
P2 P 0.6363 0.6363 0.0000 1
```

## Properties
crystal system = tetragonal
raw total energy = -6.604 eV per atom
M_tot = 0.87 μB per formula unit
volume = 14.670 A^3/atom

***

[5]
Compound: CuRhW2
Source: Alexandria via LeMat-Bulk
Functional: PBE
Structure: optimized geometry

```
data_CuRhW2
_space_group_name_H-M_alt 'P 1'
_space_group_IT_number 1
_space_group_name_Hall 'P 1'
_cell_length_a 9.1187
_cell_length_b 9.1187
_cell_length_c 9.1187
_cell_angle_alpha 17.53
_cell_angle_beta 17.53
_cell_angle_gamma 17.53
loop_
_atom_site_label
_atom_site_type_symbol
_atom_site_fract_x
_atom_site_fract_y
_atom_site_fract_z
_atom_site_occupancy
Cu1 Cu 0.0000 0.0000 0.0000 1
Rh1 Rh 0.2523 0.2523 0.2523 1
W1 W 0.5066 0.5066 0.5066 1
W2 W 0.7482 0.7482 0.7482 1
```

## Properties
crystal system = trigonal
M_tot = 0.00 μB per formula unit
energy above the most stable polymorph in this dataset = 0.36 eV/f.u.
volume = 15.004 A^3/atom

***

[6]
Compound: LiPuTcIr
Source: Alexandria via LeMat-Bulk
Functional: PBE
Structure: optimized geometry

```
data_LiPuTcIr
_space_group_name_H-M_alt 'P 1'
_space_group_IT_number 1
_space_group_name_Hall 'P 1'
_cell_length_a 4.4974
_cell_length_b 4.4974
_cell_length_c 4.4974
_cell_angle_alpha 60.00
_cell_angle_beta 60.00
_cell_angle_gamma 60.00
loop_
_atom_site_label
_atom_site_type_symbol
_atom_site_fract_x
_atom_site_fract_y
_atom_site_fract_z
_atom_site_occupancy
Li1 Li 0.0000 0.0000 0.0000 1
Pu1 Pu 0.5000 0.5000 0.5000 1
Tc1 Tc 0.2500 0.2500 0.2500 1
Ir1 Ir 0.7500 0.7500 0.7500 1
```

## Properties
crystal system = cubic
raw total energy = -8.975 eV per atom
M_tot = 3.22 μB per formula unit
volume = 16.081 A^3/atom

***

[7]
Compound: PrEr2CdPd4
Source: Alexandria via LeMat-Bulk
Functional: PBE
Structure: optimized geometry

```
data_PrEr2CdPd4
_space_group_name_H-M_alt 'P 1'
_space_group_IT_number 1
_space_group_name_Hall 'P 1'
_cell_length_a 8.5707
_cell_length_b 8.5707
_cell_length_c 8.5707
_cell_angle_alpha 33.21
_cell_angle_beta 33.21
_cell_angle_gamma 33.21
loop_
_atom_site_label
_atom_site_type_symbol
_atom_site_fract_x
_atom_site_fract_y
_atom_site_fract_z
_atom_site_occupancy
Pr1 Pr 0.0000 0.0000 0.0000 1
Er1 Er 0.2415 0.2415 0.2415 1
Er2 Er 0.7585 0.7585 0.7585 1
Cd1 Cd 0.5000 0.5000 0.5000 1
Pd1 Pd 0.1230 0.1230 0.1230 1
Pd2 Pd 0.3814 0.3814 0.3814 1
Pd3 Pd 0.6186 0.6186 0.6186 1
Pd4 Pd 0.8770 0.8770 0.8770 1
```

## Properties
crystal system = trigonal
raw total energy = -5.206 eV per atom
M_tot = 0.00 μB per formula unit
volume = 21.013 A^3/atom

***

[8]
Compound: SrSnIrOs2
Source: Alexandria via LeMat-Bulk
Functional: PBE
Structure: optimized geometry

```
data_SrSnIrOs2
_space_group_name_H-M_alt 'P 1'
_space_group_IT_number 1
_space_group_name_Hall 'P 1'
_cell_length_a 4.7931
_cell_length_b 4.7931
_cell_length_c 5.4667
_cell_angle_alpha 90.00
_cell_angle_beta 90.00
_cell_angle_gamma 90.00
loop_
_atom_site_label
_atom_site_type_symbol
_atom_site_fract_x
_atom_site_fract_y
_atom_site_fract_z
_atom_site_occupancy
Sr1 Sr 0.0000 0.0000 0.0000 1
Sn1 Sn 0.5000 0.5000 0.0000 1
Ir1 Ir 0.0000 0.0000 0.5000 1
Os1 Os 0.0000 0.5000 0.5000 1
Os2 Os 0.5000 0.0000 0.5000 1
```

## Properties
crystal system = tetragonal
raw total energy = -6.165 eV per atom
M_tot = 0.00 μB per formula unit
volume = 25.118 A^3/atom